Compound: PuPaMoRh
Source: the Alexandria database
Functional: PBE
Structure: optimized geometry

Cell and atoms, written as POSCAR:
```
PuPaMoRh
1.0
4.8576 0.0000 0.0000
2.4288 4.2068 0.0000
2.4288 1.4023 3.9662
Mo Pa Rh Pu
1 1 1 1
Cartesian
0.0000 0.0000 0.0000 Mo
2.4288 1.4023 0.9916 Pa
4.8576 2.8045 1.9831 Rh
7.2864 4.2068 2.9747 Pu
```

Total magnetic moment, Bohr magnetons per cell: 4.64
DFT total energy, eV per atom: -10.607
N(E_F), states/eV per cell: 7.80